1.
Computed, not measured: a relaxed structure of Ca2SeCl at the PBEsol level of DFT.

* uncorrected formation energy: -7.25 eV/f.u.
* crystal system: trigonal

a = 4.1133 Å, b = 4.1133 Å, c = 6.9109 Å
α = 72.69°, β = 72.69°, γ = 60.00°
With the nearest neighbours (Å) after each atom.
Atoms (fractional coordinates):
Ca (0.2521, 0.2521, 0.2437)  3 Se 2.85, 3 Cl 2.90
Ca (0.7479, 0.7479, 0.7563)  3 Se 2.85, 3 Cl 2.90
Se (0.0000, 0.0000, 0.0000)  6 Ca 2.85
Cl (0.5000, 0.5000, 0.5000)  6 Ca 2.90

---

2.
Computed, not measured: a relaxed structure of Gd3SiBr3 at the PBEsol level of DFT.

* uncorrected formation energy: -10.07 eV/f.u.
* crystal system: cubic

a = 9.9445 Å, b = 9.9445 Å, c = 9.9445 Å
α = 109.47°, β = 109.47°, γ = 109.47°
With the nearest neighbours (Å) after each atom.
Atoms (fractional coordinates):
Gd (0.5191, 0.7595, 0.0095)  2 Si 2.76, 4 Br 2.96-2.99
Gd (0.2500, 0.5095, 0.4905)  2 Si 2.76, 4 Br 2.96-2.99
Gd (0.2500, 0.7405, 0.2595)  2 Si 2.76, 4 Br 2.96-2.99
Gd (0.7595, 0.2500, 0.2405)  2 Si 2.76, 4 Br 2.96-2.99
Gd (0.7405, 0.9809, 0.4905)  2 Si 2.76, 4 Br 2.96-2.99
Gd (0.9809, 0.9905, 0.2405)  2 Si 2.76, 4 Br 2.96-2.99
Gd (0.9905, 0.2500, 0.0095)  2 Si 2.76, 4 Br 2.96-2.99
Gd (0.5095, 0.5191, 0.2595)  2 Si 2.76, 4 Br 2.96-2.99
Gd (0.5095, 0.9905, 0.7500)  2 Si 2.76, 4 Br 2.96-2.99
Gd (0.9905, 0.7405, 0.4809)  2 Si 2.76, 4 Br 2.96-2.99
Gd (0.7405, 0.7595, 0.7500)  2 Si 2.76, 4 Br 2.96-2.99
Gd (0.7595, 0.5095, 0.0191)  2 Si 2.76, 4 Br 2.96-2.99
Si (0.7500, 0.0000, 0.0000)  6 Gd 2.76
Si (0.5000, 0.7500, 0.5000)  6 Gd 2.76
Si (0.0000, 0.5000, 0.2500)  6 Gd 2.76
Si (0.7500, 0.7500, 0.2500)  6 Gd 2.76
Br (0.7500, 0.4932, 0.5068)  4 Gd 2.96-2.99
Br (0.4864, 0.2432, 0.9932)  4 Gd 2.96-2.99
Br (0.0136, 0.0068, 0.7568)  4 Gd 2.96-2.99
Br (0.2568, 0.0136, 0.5068)  4 Gd 2.96-2.99
Br (0.0068, 0.7500, 0.9932)  4 Gd 2.96-2.99
Br (0.7500, 0.2568, 0.7432)  4 Gd 2.96-2.99
Br (0.2432, 0.7500, 0.7568)  4 Gd 2.96-2.99
Br (0.4932, 0.4864, 0.7432)  4 Gd 2.96-2.99
Br (0.2432, 0.4932, 0.9864)  4 Gd 2.96-2.99
Br (0.2568, 0.2432, 0.2500)  4 Gd 2.96-2.99
Br (0.0068, 0.2568, 0.5136)  4 Gd 2.96-2.99
Br (0.4932, 0.0068, 0.2500)  4 Gd 2.96-2.99

---

3.
Computed, not measured: a relaxed structure of Al2BiPb2 at the PBEsol level of DFT.

* formation enthalpy at 0 K: 0.201 eV per atom
* crystal system: tetragonal

a = 3.8621 Å, b = 3.8621 Å, c = 9.2162 Å
α = 102.09°, β = 102.09°, γ = 90.00°
With the nearest neighbours (Å) after each atom.
Atoms (fractional coordinates):
Pb (0.3872, 0.3872, 0.7743)  4 Al 3.09, 4 Bi 3.38
Pb (0.6128, 0.6128, 0.2257)  4 Al 3.09, 4 Bi 3.38
Bi (0.0000, 0.0000, 0.0000)  8 Pb 3.38
Al (0.2500, 0.7500, 0.5000)  4 Al 2.73
Al (0.7500, 0.2500, 0.5000)  4 Al 2.73

---

4.
Computed, not measured: a relaxed structure of Sc7C2Cl10 at the PBEsol level of DFT.

* uncorrected formation energy: -34.44 eV/f.u.
* crystal system: monoclinic

a = 3.4553 Å, b = 9.4602 Å, c = 11.7925 Å
α = 99.71°, β = 90.00°, γ = 100.52°
With the nearest neighbours (Å) after each atom.
Atoms (fractional coordinates):
Sc (0.1811, 0.3621, 0.5075)  3 C 2.32-2.35
Sc (0.8189, 0.6379, 0.4925)  3 C 2.32-2.35
Sc (0.3006, 0.6012, 0.7221)  2 C 2.27, 1 Cl 2.48
Sc (0.6994, 0.3988, 0.2779)  2 C 2.27, 1 Cl 2.48
Sc (0.6559, 0.3118, 0.7315)  1 C 2.16
Sc (0.3441, 0.6882, 0.2685)  1 C 2.16
Sc (0.0000, 0.0000, 0.0000)  6 Cl 2.51-2.53
C (0.7394, 0.4787, 0.6243)  6 Sc 2.16-2.35
C (0.2606, 0.5213, 0.3757)  6 Sc 2.16-2.35
Cl (0.5487, 0.0973, 0.8785)  2 Sc 2.51
Cl (0.4513, 0.9027, 0.1215)  2 Sc 2.51
Cl (0.2151, 0.4301, 0.8732)  3 Sc 2.52-2.58
Cl (0.7849, 0.5699, 0.1268)  3 Sc 2.52-2.58
Cl (0.8781, 0.7562, 0.8657)  3 Sc 2.53-2.66
Cl (0.9268, 0.8536, 0.3738)  3 Sc 2.50-2.64
Cl (0.0732, 0.1464, 0.6262)  3 Sc 2.50-2.64
Cl (0.5960, 0.1919, 0.3854)  3 Sc 2.48-2.60
Cl (0.4040, 0.8081, 0.6146)  3 Sc 2.48-2.60
Cl (0.1219, 0.2438, 0.1343)  3 Sc 2.53-2.66

---

5.
Computed, not measured: a relaxed structure of Re2NiB2 at the PBEsol level of DFT.

* formation enthalpy at 0 K: -0.273 eV per atom
* crystal system: tetragonal

a = 3.3498 Å, b = 5.4362 Å, c = 5.4362 Å
α = 90.00°, β = 90.00°, γ = 90.00°
With the nearest neighbours (Å) after each atom.
Atoms (fractional coordinates):
Re (0.5000, 0.1809, 0.6809)  6 B 2.28-2.36
Re (0.5000, 0.6809, 0.8191)  6 B 2.28-2.36
Re (0.5000, 0.8191, 0.3191)  6 B 2.28-2.36
Re (0.5000, 0.3191, 0.1809)  6 B 2.28-2.36
B (0.0000, 0.3828, 0.8828)  1 B 1.80
B (0.0000, 0.8828, 0.6172)  1 B 1.80
B (0.0000, 0.6172, 0.1172)  1 B 1.80
B (0.0000, 0.1172, 0.3828)  1 B 1.80
Ni (0.0000, 0.0000, 0.0000)  4 B 2.18
Ni (0.0000, 0.5000, 0.5000)  4 B 2.18

---

6.
Computed, not measured: a relaxed structure of VCoSb at the PBEsol level of DFT.

* uncorrected formation energy: -0.64 eV/f.u.
* crystal system: cubic

a = 4.0619 Å, b = 4.0619 Å, c = 4.0619 Å
α = 60.00°, β = 60.00°, γ = 60.00°
With the nearest neighbours (Å) after each atom.
Atoms (fractional coordinates):
Sb (0.5000, 0.5000, 0.5000)  4 Co 2.49
Co (0.7500, 0.7500, 0.7500)  4 Sb 2.49, 4 V 2.49
V (0.0000, 0.0000, 0.0000)  4 Co 2.49

---

7.
Computed, not measured: a relaxed structure of CaZr2Tc at the PBEsol level of DFT.

* formation enthalpy at 0 K: -0.006 eV per atom
* polymorph energy (0 for the lowest one): 0.000 eV/atom
* crystal system: tetragonal

a = 3.2413 Å, b = 3.2413 Å, c = 8.9227 Å
α = 90.00°, β = 90.00°, γ = 90.00°
With the nearest neighbours (Å) after each atom.
Atoms (fractional coordinates):
Ca (0.5000, 0.5000, 0.0000)  4 Ca 3.24
Tc (0.5000, 0.5000, 0.5000)  8 Zr 2.77
Zr (0.0000, 0.0000, 0.6734)  4 Tc 2.77, 1 Zr 3.09
Zr (0.0000, 0.0000, 0.3266)  4 Tc 2.77, 1 Zr 3.09

---

8.
Computed, not measured: a relaxed structure of Ta2CrOs at the PBEsol level of DFT.

* formation enthalpy at 0 K: -0.294 eV per atom
* polymorph energy (0 for the lowest one): 0.000 eV/atom
* crystal system: cubic

a = 4.4012 Å, b = 4.4012 Å, c = 4.4012 Å
α = 60.00°, β = 60.00°, γ = 60.00°
With the nearest neighbours (Å) after each atom.
Atoms (fractional coordinates):
Cr (0.5000, 0.5000, 0.5000)  8 Ta 2.70
Os (0.0000, 0.0000, 0.0000)  8 Ta 2.70
Ta (0.2500, 0.2500, 0.2500)  4 Cr 2.70, 4 Os 2.70
Ta (0.7500, 0.7500, 0.7500)  4 Cr 2.70, 4 Os 2.70

---

9.
Computed, not measured: a relaxed structure of NaTl2Ga2 at the PBEsol level of DFT.

* formation enthalpy at 0 K: -0.016 eV per atom
* crystal system: tetragonal

a = 3.7319 Å, b = 3.7319 Å, c = 9.1884 Å
α = 101.72°, β = 101.72°, γ = 90.00°
With the nearest neighbours (Å) after each atom.
Atoms (fractional coordinates):
Na (0.0000, 0.0000, 0.0000)  8 Tl 3.31
Tl (0.3864, 0.3864, 0.7729)  4 Ga 3.04, 4 Na 3.31
Tl (0.6136, 0.6136, 0.2271)  4 Ga 3.04, 4 Na 3.31
Ga (0.2500, 0.7500, 0.5000)  4 Ga 2.64
Ga (0.7500, 0.2500, 0.5000)  4 Ga 2.64

---

10.
Computed, not measured: a relaxed structure of ZrNiBr2 at the PBEsol level of DFT.

* polymorph energy (0 for the lowest one): 0.143 eV/atom
* uncorrected formation energy: -2.17 eV/f.u.
* crystal system: monoclinic

a = 3.4089 Å, b = 4.0458 Å, c = 7.1008 Å
α = 90.69°, β = 103.89°, γ = 90.00°
With the nearest neighbours (Å) after each atom.
Atoms (fractional coordinates):
Br (0.3549, 0.2820, 0.7097)  1 Ni 2.32
Br (0.6451, 0.7180, 0.2903)  1 Ni 2.32
Ni (0.5000, 0.0000, 0.0000)  2 Br 2.32
Zr (0.0000, 0.5000, 0.0000)  4 Ni 2.65, 4 Br 2.76

---

11.
Computed, not measured: a relaxed structure of LiCaAl3N4 at the PBEsol level of DFT.

* uncorrected formation energy: -11.73 eV/f.u.
* crystal system: tetragonal

a = 10.1563 Å, b = 10.1563 Å, c = 10.1563 Å
α = 101.70°, β = 113.49°, γ = 113.49°
With the nearest neighbours (Å) after each atom.
Atoms (fractional coordinates):
Li (0.6624, 0.5877, 0.9567)  3 N 1.97-2.08
Li (0.3376, 0.2943, 0.9253)  3 N 1.97-2.08
Li (0.8690, 0.7067, 0.5443)  3 N 1.97-2.08
Li (0.1310, 0.6753, 0.8377)  3 N 1.97-2.08
Li (0.8376, 0.1623, 0.2933)  3 N 1.97-2.08
Li (0.1624, 0.4557, 0.3247)  3 N 1.97-2.08
Li (0.6310, 0.0433, 0.7057)  3 N 1.97-2.08
Li (0.3690, 0.0747, 0.4123)  3 N 1.97-2.08
Ca (0.9774, 0.7928, 0.3053)  6 N 2.53-2.83
Ca (0.0226, 0.3279, 0.8155)  6 N 2.53-2.83
Ca (0.0125, 0.0553, 0.5779)  6 N 2.53-2.83
Ca (0.9875, 0.5655, 0.0428)  6 N 2.53-2.83
Ca (0.5226, 0.9572, 0.9447)  6 N 2.53-2.83
Ca (0.4774, 0.4221, 0.4345)  6 N 2.53-2.83
Ca (0.4875, 0.6947, 0.6721)  6 N 2.53-2.83
Ca (0.5125, 0.1845, 0.2072)  6 N 2.53-2.83
Al (0.1371, 0.1510, 0.3539)  4 N 1.86-1.93
Al (0.8629, 0.2168, 0.0139)  4 N 1.86-1.93
Al (0.7029, 0.1039, 0.4668)  4 N 1.86-1.93
Al (0.2971, 0.7639, 0.4010)  4 N 1.86-1.93
Al (0.3629, 0.5990, 0.8961)  4 N 1.86-1.93
Al (0.6371, 0.5332, 0.2361)  4 N 1.86-1.93
Al (0.7971, 0.6461, 0.7832)  4 N 1.86-1.93
Al (0.2029, 0.9861, 0.8490)  4 N 1.86-1.93
Al (0.1387, 0.4133, 0.5932)  4 N 1.84-1.95
Al (0.8613, 0.4545, 0.2746)  4 N 1.84-1.95
Al (0.6799, 0.3432, 0.7045)  4 N 1.84-1.95
Al (0.3201, 0.0246, 0.6633)  4 N 1.84-1.95
Al (0.3613, 0.3367, 0.6568)  4 N 1.84-1.95
Al (0.6387, 0.2955, 0.9754)  4 N 1.84-1.95
Al (0.8201, 0.4068, 0.5455)  4 N 1.84-1.95
Al (0.1799, 0.7254, 0.5867)  4 N 1.84-1.95
Al (0.1423, 0.9191, 0.1056)  4 N 1.87-1.92
Al (0.8577, 0.9633, 0.7769)  4 N 1.87-1.92
Al (0.6864, 0.8556, 0.2133)  4 N 1.87-1.92
Al (0.3136, 0.5269, 0.1691)  4 N 1.87-1.92
Al (0.3577, 0.8309, 0.1444)  4 N 1.87-1.92
Al (0.6423, 0.7867, 0.4731)  4 N 1.87-1.92
Al (0.8136, 0.8944, 0.0367)  4 N 1.87-1.92
Al (0.1864, 0.2231, 0.0809)  4 N 1.87-1.92
N (0.7328, 0.5057, 0.1141)  3 Al 1.88-1.95, 1 Li 1.97
N (0.2672, 0.3813, 0.7729)  3 Al 1.88-1.95, 1 Li 1.97
N (0.1084, 0.8641, 0.6313)  3 Al 1.88-1.95, 1 Li 1.97
N (0.8916, 0.5229, 0.7557)  3 Al 1.88-1.95, 1 Li 1.97
N (0.7672, 0.2443, 0.1359)  3 Al 1.88-1.95, 1 Li 1.97
N (0.2328, 0.3687, 0.4771)  3 Al 1.88-1.95, 1 Li 1.97
N (0.3916, 0.8859, 0.6187)  3 Al 1.88-1.95, 1 Li 1.97
N (0.6084, 0.2271, 0.4943)  3 Al 1.88-1.95, 1 Li 1.97
N (0.9083, 0.7762, 0.0003)  3 Al 1.87-1.88
N (0.0917, 0.0921, 0.8679)  3 Al 1.87-1.88
N (0.7241, 0.7503, 0.3421)  3 Al 1.87-1.88
N (0.2759, 0.6179, 0.0262)  3 Al 1.87-1.88
N (0.5917, 0.9738, 0.2497)  3 Al 1.87-1.88
N (0.4083, 0.6579, 0.3821)  3 Al 1.87-1.88
N (0.7759, 0.9997, 0.9079)  3 Al 1.87-1.88
N (0.2241, 0.1321, 0.2238)  3 Al 1.87-1.88
N (0.9088, 0.9991, 0.2592)  3 Al 1.86-1.92, 1 Li 2.08
N (0.0912, 0.3504, 0.0903)  3 Al 1.86-1.92, 1 Li 2.08
N (0.7600, 0.0092, 0.6004)  3 Al 1.86-1.92, 1 Li 2.08
N (0.2400, 0.8403, 0.2491)  3 Al 1.86-1.92, 1 Li 2.08
N (0.5912, 0.7509, 0.9908)  3 Al 1.86-1.92, 1 Li 2.08
N (0.4088, 0.3996, 0.1597)  3 Al 1.86-1.92, 1 Li 2.08
N (0.7400, 0.7408, 0.6496)  3 Al 1.86-1.92, 1 Li 2.08
N (0.2600, 0.9097, 0.0009)  3 Al 1.86-1.92, 1 Li 2.08
N (0.9149, 0.2829, 0.5252)  3 Al 1.84-1.93
N (0.0851, 0.6103, 0.3680)  3 Al 1.84-1.93
N (0.7423, 0.2752, 0.8603)  3 Al 1.84-1.93
N (0.2577, 0.1180, 0.5329)  3 Al 1.84-1.93
N (0.5851, 0.4671, 0.7248)  3 Al 1.84-1.93
N (0.4149, 0.1397, 0.8820)  3 Al 1.84-1.93
N (0.7577, 0.4748, 0.3897)  3 Al 1.84-1.93
N (0.2423, 0.6320, 0.7171)  3 Al 1.84-1.93